1.
MnTlCr2 (PBE, relaxed); offset from the most stable computed form = 0.0 kJ per mole of atoms
1.0
3.002 0.000 0.000
0.000 3.002 0.000
0.000 0.000 6.955
Mn Tl Cr
1 1 2
Cartesian
0.000 0.000 0.000
1.501 1.501 2.068
0.000 0.000 4.176
1.501 1.501 5.504

***

2.
MnTlCr3 (PBE, relaxed); offset from the most stable computed form = 82.1 kJ per mole of atoms
1.0
5.151 0.000 0.000
0.000 5.151 0.000
0.000 0.000 5.151
Mn Tl Cr
1 1 3
Cartesian
0.000 0.000 0.000
2.576 2.576 2.576
0.000 2.576 2.576
2.576 0.000 2.576
2.576 2.576 0.000

***

3.
MnTlCr2 (PBE, relaxed); offset from the most stable computed form = 22.6 kJ per mole of atoms
1.0
1.513 0.873 8.447
-1.513 0.873 8.447
0.000 -1.747 8.447
Mn Tl Cr
1 1 2
Cartesian
0.000 0.000 0.000
0.000 0.000 12.671
0.000 0.000 6.670
0.000 0.000 18.672

***

4.
MnTlCr2 (PBE, relaxed); offset from the most stable computed form = 13.4 kJ per mole of atoms
1.0
3.637 0.000 0.000
0.000 4.203 0.000
0.000 0.000 4.220
Mn Tl Cr
1 1 2
Cartesian
0.000 0.000 0.000
1.818 2.101 0.000
0.000 2.101 2.110
1.818 0.000 2.110

***

5.
MnTlCr2 (PBE, relaxed); offset from the most stable computed form = 41.0 kJ per mole of atoms
1.0
2.625 -4.379 0.000
2.625 4.379 0.000
-0.894 0.000 2.578
Mn Tl Cr
1 1 2
Cartesian
0.000 0.000 0.000
2.625 0.000 0.000
0.865 2.189 1.289
0.865 -2.189 1.289

***

6.
MnTlCr2 (PBE, relaxed); offset from the most stable computed form = 19.3 kJ per mole of atoms
1.0
1.500 0.866 8.372
-1.500 0.866 8.372
0.000 -1.731 8.372
Mn Tl Cr
1 1 2
Cartesian
0.000 0.000 0.000
0.000 0.000 5.949
0.000 0.000 11.891
0.000 0.000 18.569

***

7.
MnTlCr (PBE, relaxed); offset from the most stable computed form = 10.8 kJ per mole of atoms
1.0
3.107 0.000 0.000
-1.553 2.691 0.000
0.000 0.000 6.437
Mn Tl Cr
1 1 1
Cartesian
0.000 0.000 0.000
0.000 1.794 2.402
1.553 0.897 4.821

***

8.
VASP calculation (PBE) on a relaxed Mn4TlCr crystal.

```
Mn4TlCr
1.0
0.000 3.440 3.440
3.440 0.000 3.440
3.440 3.440 0.000
Mn Tl Cr
4 1 1
Cartesian
0.856 0.856 0.856
2.584 2.584 0.856
2.584 0.856 2.584
0.856 2.584 2.584
5.160 5.160 5.160
3.440 3.440 3.440
```

***

9.
VASP calculation (PBE) on a relaxed MnTl4Cr crystal.

```
MnTl4Cr
1.0
0.000 4.397 4.397
4.397 0.000 4.397
4.397 4.397 0.000
Mn Tl Cr
1 4 1
Cartesian
0.000 0.000 0.000
5.496 3.298 3.298
3.298 5.496 3.298
3.298 3.298 5.496
5.496 5.496 5.496
2.198 2.198 2.198
```

***

10.
MnTlCr2 (PBE, relaxed); offset from the most stable computed form = 24.6 kJ per mole of atoms
1.0
-1.578 2.164 4.264
1.578 -2.164 4.264
1.578 2.164 -4.264
Mn Tl Cr
1 1 2
Cartesian
0.000 0.000 0.000
0.000 0.000 4.264
1.578 0.000 1.977
0.000 2.164 2.287

***

11.
MnTlCr2 (PBE, relaxed); offset from the most stable computed form = 12.6 kJ per mole of atoms
1.0
-2.184 2.184 3.464
2.184 -2.184 3.464
2.184 2.184 -3.464
Mn Tl Cr
1 1 2
Cartesian
0.000 0.000 0.000
0.000 0.000 3.464
2.184 0.000 1.732
0.000 2.184 1.732

***

12.
MnTlCr2 (PBE, relaxed); offset from the most stable computed form = 5.8 kJ per mole of atoms
1.0
3.019 0.000 0.000
0.000 3.019 0.000
0.000 0.000 7.074
Mn Tl Cr
1 1 2
Cartesian
0.000 0.000 0.000
0.000 0.000 3.537
1.509 1.509 1.438
1.509 1.509 5.636

***

13.
MnTlCr2 (PBE, relaxed); offset from the most stable computed form = 11.9 kJ per mole of atoms
1.0
0.000 3.208 3.208
3.208 0.000 3.208
3.208 3.208 0.000
Mn Tl Cr
1 1 2
Cartesian
0.000 0.000 0.000
4.812 4.812 4.812
1.604 1.604 1.604
3.208 3.208 3.208

***

14.
MnTlCr3 (PBE, relaxed); offset from the most stable computed form = 0.0 kJ per mole of atoms
1.0
4.461 0.000 0.000
0.000 4.461 0.000
0.000 0.000 4.461
Mn Tl Cr
1 1 3
Cartesian
0.000 0.000 0.000
2.231 2.231 2.231
0.000 0.000 2.231
0.000 2.231 0.000
2.231 0.000 0.000

***

15.
MnTlCr (PBE, relaxed); offset from the most stable computed form = 0.0 kJ per mole of atoms
1.0
-1.513 1.513 5.682
1.513 -1.513 5.682
1.513 1.513 -5.682
Mn Tl Cr
1 1 1
Cartesian
0.000 0.000 0.000
0.000 0.000 3.534
0.000 0.000 7.003

***

Asked for ρ across the records above, the calculation gives 9.62 5.04 9.01 9.35 10.18 9.25 9.61 9.71 9.03 10.36 9.13 9.36 9.14 7.77 9.93 g cm⁻³ in order.
Asked for E_form across the records above, the calculation gives 0.397 1.879 0.631 0.536 0.821 0.597 0.574 0.400 0.826 0.652 0.527 0.456 0.520 1.028 0.463 eV per atom in order.
Asked for calculated total energy across the records above, the calculation gives -7.299 -6.202 -7.064 -7.160 -6.874 -7.099 -6.479 -7.711 -3.884 -7.044 -7.169 -7.239 -7.176 -7.053 -6.590 eV/atom in order.